{"formula": "NbVMoF2", "functional": "PBE with a Hubbard U", "state": "optimized geometry", "lattice_angstrom": [[4.126, 0.000, 0.000], [0.000, 5.533, 0.000], [0.000, 0.000, 4.126]], "species": ["Mo", "F", "F", "Nb", "V"], "fractional_positions": [[0.500, 0.500, 0.500], [0.000, 0.000, 0.500], [0.500, 0.000, 0.000], [0.000, 0.000, 0.000], [0.000, 0.500, 0.000]], "space_group": "P4/mmm, No. 123", "e_tot_ev_per_atom": -5.61}